1.
DFT (PBE-GGA) results for an optimized crystal structure of Nd2BeAl.

a b c (Å): 3.4203 3.4203 11.0302
angles (deg): 81.08 81.08 60.00
Last column: nearest neighbours and their distance in Å.
Element x y z (fractional)
Nd 0.9076 0.9076 0.2773  1 Be 3.01, 3 Al 3.12
Nd 0.0924 0.0924 0.7227  1 Be 3.01, 3 Al 3.12
Al 0.5000 0.5000 0.5000  6 Nd 3.12, 6 Al 3.42
Be 0.0000 0.0000 0.0000  2 Nd 3.01

Calculated volume (A^3/atom): 27.49
DFT formation energy (meV/atom): 622
Fermi-level density of states (states/eV/cell): 2.9
Space-group type: No. 166
Energy above the lowest structure with this stoichiometry (eV per formula unit): 2.78



2.
DFT (PBE-GGA) results for an optimized crystal structure of LaIrCl2.

a b c (Å): 3.7807 5.0341 4.3787
angles (deg): 90.00 90.00 90.00
Last column: nearest neighbours and their distance in Å.
Element x y z (fractional)
Cl 0.5000 0.5000 0.0000  4 La 2.89, 4 Cl 3.15
Cl 0.0000 0.0000 0.0000  4 Ir 2.89, 4 Cl 3.15
La 0.0000 0.5000 0.5000  4 Cl 2.89, 4 Ir 3.15
Ir 0.5000 0.0000 0.5000  4 Cl 2.89, 4 La 3.15

Calculated volume (A^3/atom): 20.83
Fermi-level density of states (states/eV/cell): 1.9
Space-group type: No. 47
Energy above the lowest structure with this stoichiometry (eV per formula unit): 1.35



3.
DFT (PBE-GGA) results for an optimized crystal structure of NbVPt2.

a b c (Å): 5.5158 5.5175 5.5175
angles (deg): 75.06 60.01 60.01
Last column: nearest neighbours and their distance in Å.
Element x y z (fractional)
Nb 0.7500 0.8138 0.6862  3 V 2.71-2.77, 8 Pt 2.75-2.87
Nb 0.2500 0.1862 0.3138  3 V 2.71-2.77, 8 Pt 2.75-2.87
Pt 0.2973 0.7027 0.2027  4 V 2.73-2.85, 4 Nb 2.75-2.87, 3 Pt 2.75-2.76
Pt 0.2027 0.2973 0.7973  4 V 2.73-2.85, 4 Nb 2.75-2.87, 3 Pt 2.75-2.76
Pt 0.7027 0.2973 0.7973  4 V 2.73-2.85, 4 Nb 2.75-2.87, 3 Pt 2.75-2.76
Pt 0.7973 0.7027 0.2027  4 V 2.73-2.85, 4 Nb 2.75-2.87, 3 Pt 2.75-2.76
V 0.2500 0.7837 0.7163  3 Nb 2.71-2.77, 8 Pt 2.73-2.85
V 0.7500 0.2163 0.2837  3 Nb 2.71-2.77, 8 Pt 2.73-2.85

Calculated volume (A^3/atom): 15.74
DFT formation energy (meV/atom): -532
Fermi-level density of states (states/eV/cell): 7.0
Space-group type: No. 74
Energy above the lowest structure with this stoichiometry (eV per formula unit): 0.26



4.
DFT (PBE-GGA) results for an optimized crystal structure of BeBi3Au.

a b c (Å): 5.5556 5.5556 5.5556
angles (deg): 90.00 90.00 90.00
Last column: nearest neighbours and their distance in Å.
Element x y z (fractional)
Bi 0.0000 0.5000 0.0000  2 Au 2.78
Bi 0.0000 0.0000 0.5000  2 Au 2.78
Bi 0.5000 0.0000 0.0000  2 Au 2.78
Be 0.5000 0.5000 0.5000  12 Bi 3.93
Au 0.0000 0.0000 0.0000  6 Bi 2.78

Calculated volume (A^3/atom): 34.29
DFT formation energy (meV/atom): 1037
Fermi-level density of states (states/eV/cell): 5.7
Space-group type: No. 221
Energy above the lowest structure with this stoichiometry (eV per formula unit): 2.52



5.
DFT (PBE-GGA) results for an optimized crystal structure of CsKBrCl.

a b c (Å): 5.8700 5.8700 5.8700
angles (deg): 60.00 60.00 60.00
Last column: nearest neighbours and their distance in Å.
Element x y z (fractional)
K 0.2500 0.2500 0.2500  4 Cl 3.59, 4 Br 3.59
Cl 0.0000 0.0000 0.0000  4 Cs 3.59, 4 K 3.59
Br 0.5000 0.5000 0.5000  4 K 3.59, 4 Cs 3.59
Cs 0.7500 0.7500 0.7500  4 Cl 3.59, 4 Br 3.59

Calculated volume (A^3/atom): 35.76
DFT total energy (eV/cell): -12.56
Fermi-level density of states (states/eV/cell): 0.0
Space-group type: No. 216



6.
DFT (PBE-GGA) results for an optimized crystal structure of ZnTcSn3.

a b c (Å): 5.1321 5.1321 5.1321
angles (deg): 90.00 90.00 90.00
Last column: nearest neighbours and their distance in Å.
Element x y z (fractional)
Sn 0.0000 0.0000 0.5000  2 Zn 2.57
Sn 0.0000 0.5000 0.0000  2 Zn 2.57
Sn 0.5000 0.0000 0.0000  2 Zn 2.57
Zn 0.0000 0.0000 0.0000  6 Sn 2.57
Tc 0.5000 0.5000 0.5000  12 Sn 3.63

Calculated volume (A^3/atom): 27.04
DFT formation energy (meV/atom): 1063
Fermi-level density of states (states/eV/cell): 4.2
Space-group type: No. 221
Energy above the lowest structure with this stoichiometry (eV per formula unit): 4.49



7.
DFT (PBE-GGA) results for an optimized crystal structure of KNdZnO3.

a b c (Å): 3.6560 7.5842 8.7911
angles (deg): 105.21 90.00 90.00
Last column: nearest neighbours and their distance in Å.
Element x y z (fractional)
O 0.7500 0.1612 0.5654  3 Zn 1.98-2.08
O 0.7500 0.4472 0.1221  3 Nd 2.35-2.38
O 0.2500 0.1264 0.8457  1 Zn 1.94
O 0.7500 0.8736 0.1543  1 Zn 1.94
O 0.2500 0.8388 0.4346  3 Zn 1.98-2.08
O 0.2500 0.5528 0.8779  3 Nd 2.35-2.38
Zn 0.7500 0.9415 0.3833  4 O 1.94-2.08
Zn 0.2500 0.0585 0.6167  4 O 1.94-2.08
Nd 0.2500 0.6553 0.1542  6 O 2.35-2.49
Nd 0.7500 0.3447 0.8458  6 O 2.35-2.49
K 0.2500 0.1745 0.1696  5 O 2.77-2.90
K 0.7500 0.8255 0.8304  5 O 2.77-2.90

Calculated volume (A^3/atom): 19.60
DFT total energy (eV/cell): -69.69
Fermi-level density of states (states/eV/cell): 0.0
Space-group type: No. 11



8.
DFT (PBE-GGA) results for an optimized crystal structure of PtPb5.

a b c (Å): 6.3302 6.3302 11.9741
angles (deg): 135.56 135.56 32.13
Last column: nearest neighbours and their distance in Å.
Element x y z (fractional)
Pb 0.5761 0.5761 0.2468  2 Pt 2.93
Pb 0.3056 0.3056 0.6110  12 Pb 3.43-3.82
Pb 0.1790 0.1790 0.8222  2 Pt 3.08, 1 Pb 3.35
Pb 0.4322 0.4322 0.4002  2 Pt 3.08, 1 Pb 3.35
Pb 0.0348 0.0348 0.9753  2 Pt 2.93
Pt 0.8055 0.8055 0.1112  8 Pb 2.93-3.08

Calculated volume (A^3/atom): 28.47
DFT formation energy (meV/atom): -49
Fermi-level density of states (states/eV/cell): 1.9
Space-group type: No. 12
Energy above the lowest structure with this stoichiometry (eV per formula unit): 0.01